(1)
A plane-wave DFT calculation with GGA-PBE was carried out for crystalline NbAlPd2 at its relaxed geometry.

Raw total energy (eV per atom): -6.51

Unit cell a=3.977 b=3.977 c=7.904 alpha=90.00 beta=90.00 gamma=90.00
Space group I4/mmm (No. 139)
Inequivalent atoms, fractional coordinates:
Nb (0.000, 0.000, 0.000)
Al (0.000, 0.000, 0.500)
Pd (0.000, 0.500, 0.250)


(2)
A plane-wave DFT calculation with GGA-PBE was carried out for crystalline RbPrMgSe3 at its relaxed geometry.

Raw total energy (eV per atom): -4.51

Unit cell a=11.638 b=4.362 c=15.342 alpha=90.00 beta=90.00 gamma=90.00
Space group Pnma (No. 62)
Inequivalent atoms, fractional coordinates:
Rb (0.218, 0.250, 0.006)
Pr (0.015, 0.750, 0.262)
Mg (0.234, 0.750, 0.785)
Se (0.043, 0.750, 0.866)
Se (0.089, 0.250, 0.382)
Se (0.238, 0.250, 0.688)